# Y4ZnAu

A relaxed structure of Y4ZnAu (GGA-PBE, Alexandria via LeMat-Bulk).

Its final energy is -4.660 eV per atom. Its crystal system is cubic. The value obtained for the formation energy is 0.408 eV per atom.

Unit cell a=6.1694 b=6.1694 c=6.1694 alpha=60.00 beta=60.00 gamma=60.00
Closest atoms and distances in Å follow each position.
Sites, in units of the cell vectors:
Y1 0.8747 0.3751 0.3751  6 Y 3.08-3.09
Y2 0.3751 0.3751 0.8747  6 Y 3.08-3.09
Y3 0.3751 0.8747 0.3751  6 Y 3.08-3.09
Y4 0.3751 0.3751 0.3751  6 Y 3.08-3.09
Zn1 0.7500 0.7500 0.7500  12 Y 3.62, 4 Au 3.78
Au1 0.0000 0.0000 0.0000  12 Y 3.62, 4 Zn 3.78